TcSe2Br (PBE-GGA, optimized geometry); total DFT energy (no corrections) = -4.529 eV/atom; raw formation energy = 0.89 eV per formula unit; excess energy over the best structure of this formula in the dataset = 2.33 eV/f.u.; SG = Immm, No. 71
1.0
6.3880 0.0017 0.0089
3.6501 5.2424 -0.0089
-4.3803 -3.8447 2.6149
Se Tc Br
2 1 1
Cartesian
0.7397 0.3864 0.0000
4.2794 2.2356 0.0000
2.1444 2.0099 1.3030
3.5134 -0.6105 1.3119

=====

Tc2SeBr (PBE-GGA, optimized geometry); total DFT energy (no corrections) = -6.318 eV/atom; raw formation energy = 0.62 eV per formula unit; excess energy over the best structure of this formula in the dataset = 0.18 eV/f.u.; SG = Cm, No. 8
1.0
4.1589 0.0069 -0.0021
2.4092 3.3900 -0.0021
1.0380 0.5368 7.0948
Br Tc Se
1 2 1
Cartesian
4.1984 2.1713 4.1949
5.2962 2.7391 6.6978
7.3294 3.7907 6.0442
2.1910 1.1332 0.7895

=====

TcSeBr2 (PBE-GGA, optimized geometry); total DFT energy (no corrections) = -3.779 eV/atom; raw formation energy = 2.08 eV per formula unit; excess energy over the best structure of this formula in the dataset = 2.67 eV/f.u.; SG = Cmmm, No. 65
1.0
-2.3515 1.5396 1.7159
2.4909 -1.6566 1.3768
5.9801 9.0525 0.0727
Se Tc Br
1 1 2
Cartesian
1.5647 2.2046 1.5645
4.5548 6.7309 1.6009
5.5855 8.4551 0.0679
3.3846 5.1236 0.0411

=====

TcSeBr (PBE-GGA, optimized geometry); total DFT energy (no corrections) = -4.887 eV/atom; raw formation energy = 0.86 eV per formula unit; excess energy over the best structure of this formula in the dataset = 1.69 eV/f.u.; SG = Fmm2, No. 42
1.0
-3.2737 6.3227 -3.8925
-5.4570 3.5324 -4.0702
-0.4314 2.7106 2.2474
Br Tc Se
1 1 1
Cartesian
-8.4008 9.5710 -7.5567
-3.1395 5.0419 -1.0843
-6.3525 7.8078 -5.0369

=====

TcSeBr2 (PBE-GGA, optimized geometry); total DFT energy (no corrections) = -4.445 eV/atom; raw formation energy = -0.59 eV per formula unit; excess energy over the best structure of this formula in the dataset = 0.00 eV/f.u.; SG = Amm2, No. 38
1.0
-3.9565 5.1518 0.7255
-0.5861 -5.8634 -2.8281
3.3257 -0.6578 5.1934
Br Tc Se
2 1 1
Cartesian
0.3276 -3.7438 0.5585
-0.9431 -4.6967 -2.4517
-1.5234 2.3055 2.5101
-1.9353 -1.4538 -1.4055

=====

Tc2SeBr (PBE-GGA, optimized geometry); total DFT energy (no corrections) = -5.874 eV/atom; raw formation energy = 2.39 eV per formula unit; excess energy over the best structure of this formula in the dataset = 1.96 eV/f.u.; SG = P4/mmm, No. 123
1.0
3.1451 0.0000 0.0000
0.0000 3.1451 0.0000
0.0000 0.0000 6.4721
Tc Br Se
2 1 1
Cartesian
0.0000 0.0000 3.4205
0.0000 0.0000 6.2876
1.5726 1.5726 1.6180
1.5726 1.5726 4.8541